A plane-wave DFT calculation with GGA-PBE was carried out for K3Ho3SiO8 after structural relaxation.

Calculated values
As for the total energy: -102.02 eV for the cell shown. As for the crystal system: trigonal. As for the space-group type: R-3m, No. 166. The value obtained for the density of states at the Fermi level is 0.00 states/eV/cell.

Cell and atoms, written as POSCAR:
```
K3Ho3SiO8
1.0
3.302 1.906 6.284
-3.302 1.906 6.284
0.000 -3.813 6.284
K Ho Si O
3 3 1 8
Direct
0.000 0.500 0.500 K
0.500 0.000 0.500 K
0.500 0.500 0.000 K
0.000 0.000 0.500 Ho
0.000 0.500 0.000 Ho
0.500 0.000 0.000 Ho
0.500 0.500 0.500 Si
0.228 0.228 0.228 O
0.273 0.695 0.695 O
0.305 0.305 0.727 O
0.305 0.727 0.305 O
0.695 0.273 0.695 O
0.695 0.695 0.273 O
0.727 0.305 0.305 O
0.772 0.772 0.772 O
```

A plane-wave DFT calculation with GGA-PBE was carried out for Ca2C2F after structural relaxation.

Calculated values
As for the total energy: -29.59 eV for the cell shown. As for the crystal system: monoclinic. As for the space-group type: C2/m, No. 12. The value obtained for the density of states at the Fermi level is 2.29 states/eV/cell.

Cell and atoms, written as POSCAR:
```
Ca2C2F
1.0
3.395 -2.500 0.000
3.395 2.500 0.000
-2.711 0.000 6.782
Ca C F
2 2 1
Direct
0.105 0.105 0.319 Ca
0.895 0.895 0.681 Ca
0.370 0.630 0.500 C
0.630 0.370 0.500 C
0.000 0.000 0.000 F
```

A plane-wave DFT calculation with GGA-PBE was carried out for BaAs3Ru after structural relaxation.

Calculated values
As for the total energy: -25.88 eV for the cell shown. As for the crystal system: cubic. As for the space-group type: Pm-3m, No. 221. The value obtained for the density of states at the Fermi level is 5.76 states/eV/cell. For the energy of formation, the calculation gives -0.15 eV/atom.

Cell and atoms, written as POSCAR:
```
BaAs3Ru
1.0
4.969 0.000 0.000
0.000 4.969 0.000
0.000 0.000 4.969
Ba As Ru
1 3 1
Direct
0.000 0.000 0.000 Ba
0.000 0.500 0.500 As
0.500 0.000 0.500 As
0.500 0.500 0.000 As
0.500 0.500 0.500 Ru
```

A plane-wave DFT calculation with GGA-PBE was carried out for TiHPd2Pb after structural relaxation.

Calculated values
As for the total energy: -26.43 eV for the cell shown. As for the crystal system: tetragonal. As for the space-group type: P4/mmm, No. 123. The value obtained for the density of states at the Fermi level is 5.29 states/eV/cell.

Cell and atoms, written as POSCAR:
```
TiHPd2Pb
1.0
4.079 0.000 0.000
0.000 4.079 0.000
0.000 0.000 4.394
Ti H Pd Pb
1 1 2 1
Direct
0.000 0.000 0.000 Ti
0.000 0.000 0.500 H
0.000 0.500 0.500 Pd
0.500 0.000 0.500 Pd
0.500 0.500 0.000 Pb
```

A plane-wave DFT calculation with GGA-PBE was carried out for Tm4Ga12Au after structural relaxation.

Calculated values
As for the total energy: -66.12 eV for the cell shown. As for the crystal system: cubic. As for the space-group type: Im-3m, No. 229. The value obtained for the density of states at the Fermi level is 7.35 states/eV/cell. For the energy of formation, the calculation gives -0.51 eV/atom.

Cell and atoms, written as POSCAR:
```
Tm4Ga12Au
1.0
-4.314 4.314 4.314
4.314 -4.314 4.314
4.314 4.314 -4.314
Tm Ga Au
4 12 1
Direct
0.000 0.000 0.500 Tm
0.000 0.500 0.000 Tm
0.500 0.000 0.000 Tm
0.500 0.500 0.500 Tm
0.000 0.304 0.304 Ga
0.000 0.696 0.696 Ga
0.250 0.500 0.750 Ga
0.250 0.750 0.500 Ga
0.304 0.000 0.304 Ga
0.304 0.304 0.000 Ga
0.500 0.250 0.750 Ga
0.500 0.750 0.250 Ga
0.696 0.000 0.696 Ga
0.696 0.696 0.000 Ga
0.750 0.250 0.500 Ga
0.750 0.500 0.250 Ga
0.000 0.000 0.000 Au
```

A plane-wave DFT calculation with GGA-PBE was carried out for CuAsAuBr2 after structural relaxation.

Calculated values
As for the total energy: -12.59 eV for the cell shown. As for the crystal system: tetragonal. As for the space-group type: P4/mmm, No. 123. The value obtained for the density of states at the Fermi level is 4.90 states/eV/cell.

Cell and atoms, written as POSCAR:
```
CuAsAuBr2
1.0
4.970 0.000 0.000
0.000 4.970 0.000
0.000 0.000 4.851
Cu As Au Br
1 1 1 2
Direct
0.000 0.000 0.000 Cu
0.000 0.000 0.500 As
0.500 0.500 0.500 Au
0.000 0.500 0.000 Br
0.500 0.000 0.000 Br
```

A plane-wave DFT calculation with GGA-PBE was carried out for BaH3Pd after structural relaxation.

Calculated values
As for the total energy: -77.56 eV for the cell shown. As for the crystal system: monoclinic. As for the space-group type: P2_1/c, No. 14. The value obtained for the density of states at the Fermi level is 0.47 states/eV/cell.

Cell and atoms, written as POSCAR:
```
BaH3Pd
1.0
7.326 0.000 0.000
0.000 5.730 0.000
-3.926 0.000 6.495
Ba H Pd
4 12 4
Direct
0.223 0.249 0.362 Ba
0.223 0.251 0.862 Ba
0.777 0.749 0.138 Ba
0.777 0.751 0.638 Ba
0.083 0.618 0.041 H
0.083 0.882 0.541 H
0.303 0.750 0.401 H
0.303 0.750 0.901 H
0.494 0.011 0.747 H
0.494 0.489 0.247 H
0.506 0.511 0.753 H
0.506 0.989 0.253 H
0.697 0.250 0.099 H
0.697 0.250 0.599 H
0.917 0.118 0.459 H
0.917 0.382 0.959 H
0.313 0.734 0.656 Pd
0.313 0.766 0.156 Pd
0.687 0.234 0.844 Pd
0.687 0.266 0.344 Pd
```

A plane-wave DFT calculation with GGA-PBE was carried out for ScCdRh2 after structural relaxation.

Calculated values
As for the total energy: -22.12 eV for the cell shown. As for the crystal system: trigonal. As for the space-group type: R3m, No. 160. The value obtained for the density of states at the Fermi level is 4.73 states/eV/cell. For the energy of formation, the calculation gives -0.04 eV/atom.

Cell and atoms, written as POSCAR:
```
ScCdRh2
1.0
1.512 0.873 8.990
-1.512 0.873 8.990
0.000 -1.746 8.990
Sc Cd Rh
1 1 2
Direct
0.000 0.000 0.000 Sc
0.765 0.765 0.765 Cd
0.262 0.262 0.262 Rh
0.515 0.515 0.515 Rh
```

A plane-wave DFT calculation with GGA-PBE was carried out for Rb3Sr2UTe6 after structural relaxation.

Calculated values
As for the total energy: -50.91 eV for the cell shown. As for the crystal system: monoclinic. As for the space-group type: C2/m, No. 12. The value obtained for the density of states at the Fermi level is 0.29 states/eV/cell.

Cell and atoms, written as POSCAR:
```
Rb3Sr2UTe6
1.0
4.108 -7.108 0.000
4.108 7.108 0.000
-2.751 0.000 8.498
Rb Sr U Te
3 2 1 6
Direct
0.000 0.000 0.000 Rb
0.326 0.674 0.000 Rb
0.674 0.326 0.000 Rb
0.166 0.834 0.500 Sr
0.834 0.166 0.500 Sr
0.500 0.500 0.500 U
0.128 0.432 0.296 Te
0.267 0.267 0.705 Te
0.432 0.128 0.296 Te
0.568 0.872 0.704 Te
0.733 0.733 0.295 Te
0.872 0.568 0.704 Te
```

A plane-wave DFT calculation with GGA-PBE was carried out for RbBe2PbAu after structural relaxation.

Calculated values
As for the total energy: -5.16 eV for the cell shown. As for the crystal system: tetragonal. As for the space-group type: P4/mmm, No. 123. The value obtained for the density of states at the Fermi level is 3.55 states/eV/cell. For the energy of formation, the calculation gives 2.05 eV/atom.

Cell and atoms, written as POSCAR:
```
RbBe2PbAu
1.0
5.651 0.000 0.000
0.000 5.651 0.000
0.000 0.000 7.035
Rb Be Pb Au
1 2 1 1
Direct
0.000 0.000 0.000 Rb
0.000 0.500 0.000 Be
0.500 0.000 0.000 Be
0.000 0.000 0.500 Pb
0.500 0.500 0.500 Au
```

A plane-wave DFT calculation with GGA-PBE was carried out for Tl3P after structural relaxation.

Calculated values
As for the total energy: -11.56 eV for the cell shown. As for the crystal system: tetragonal. As for the space-group type: P4/mmm, No. 123. The value obtained for the density of states at the Fermi level is 3.13 states/eV/cell. For the energy of formation, the calculation gives 0.24 eV/atom.

Cell and atoms, written as POSCAR:
```
Tl3P
1.0
4.780 0.000 0.000
0.000 4.780 0.000
0.000 0.000 4.765
Tl P
3 1
Direct
0.000 0.000 0.000 Tl
0.000 0.500 0.500 Tl
0.500 0.000 0.500 Tl
0.500 0.500 0.000 P
```

A plane-wave DFT calculation with GGA-PBE was carried out for HfInBr3 after structural relaxation.

Calculated values
As for the total energy: -20.55 eV for the cell shown. As for the crystal system: cubic. As for the space-group type: Pm-3m, No. 221. The value obtained for the density of states at the Fermi level is 3.97 states/eV/cell.

Cell and atoms, written as POSCAR:
```
HfInBr3
1.0
5.329 0.000 0.000
0.000 5.329 0.000
0.000 0.000 5.329
Hf In Br
1 1 3
Direct
0.000 0.000 0.000 Hf
0.500 0.500 0.500 In
0.000 0.000 0.500 Br
0.000 0.500 0.000 Br
0.500 0.000 0.000 Br
```

A plane-wave DFT calculation with GGA-PBE was carried out for Ti3InGa after structural relaxation.

Calculated values
As for the total energy: -27.86 eV for the cell shown. As for the crystal system: cubic. As for the space-group type: Pm-3m, No. 221. The value obtained for the density of states at the Fermi level is 5.87 states/eV/cell. For the energy of formation, the calculation gives 0.32 eV/atom.

Cell and atoms, written as POSCAR:
```
Ti3InGa
1.0
4.720 0.000 0.000
0.000 4.720 0.000
0.000 0.000 4.720
Ti In Ga
3 1 1
Direct
0.000 0.000 0.500 Ti
0.000 0.500 0.000 Ti
0.500 0.000 0.000 Ti
0.500 0.500 0.500 In
0.000 0.000 0.000 Ga
```

A plane-wave DFT calculation with GGA-PBE was carried out for Pm2Al2Co2C after structural relaxation.

Calculated values
As for the total energy: -43.28 eV for the cell shown. As for the crystal system: monoclinic. As for the space-group type: C2/m, No. 12. The value obtained for the density of states at the Fermi level is 3.31 states/eV/cell. For the energy of formation, the calculation gives -0.41 eV/atom.

Cell and atoms, written as POSCAR:
```
Pm2Al2Co2C
1.0
5.533 -2.044 0.000
5.533 2.044 0.000
-4.535 0.000 5.489
Pm Al Co C
2 2 2 1
Direct
0.054 0.054 0.287 Pm
0.946 0.946 0.713 Pm
0.331 0.331 0.269 Al
0.669 0.669 0.731 Al
0.309 0.309 0.910 Co
0.691 0.691 0.090 Co
0.500 0.500 0.000 C
```

A plane-wave DFT calculation with GGA-PBE was carried out for Ti5Ga2Sn2 after structural relaxation.

Calculated values
As for the total energy: -113.55 eV for the cell shown. As for the crystal system: orthorhombic. As for the space-group type: Cmce, No. 64. The value obtained for the density of states at the Fermi level is 17.96 states/eV/cell. For the energy of formation, the calculation gives -0.36 eV/atom.

Cell and atoms, written as POSCAR:
```
Ti5Ga2Sn2
1.0
6.765 -3.527 0.000
6.765 3.527 0.000
0.000 0.000 6.965
Ti Ga Sn
10 4 4
Direct
0.000 0.000 0.000 Ti
0.048 0.705 0.674 Ti
0.205 0.548 0.174 Ti
0.295 0.952 0.674 Ti
0.452 0.795 0.174 Ti
0.500 0.500 0.500 Ti
0.548 0.205 0.826 Ti
0.705 0.048 0.326 Ti
0.795 0.452 0.826 Ti
0.952 0.295 0.326 Ti
0.130 0.870 0.371 Ga
0.370 0.630 0.871 Ga
0.630 0.370 0.129 Ga
0.870 0.130 0.629 Ga
0.214 0.214 0.000 Sn
0.286 0.286 0.500 Sn
0.714 0.714 0.500 Sn
0.786 0.786 0.000 Sn
```

A plane-wave DFT calculation with GGA-PBE was carried out for NaMg14Ti after structural relaxation.

Calculated values
As for the total energy: -30.15 eV for the cell shown. As for the crystal system: orthorhombic. As for the space-group type: Amm2, No. 38. The value obtained for the density of states at the Fermi level is 7.71 states/eV/cell. For the energy of formation, the calculation gives 0.09 eV/atom.

Cell and atoms, written as POSCAR:
```
NaMg14Ti
1.0
10.324 0.000 0.000
0.000 3.237 5.502
0.000 -3.237 5.502
Na Mg Ti
1 14 1
Direct
0.000 0.000 0.000 Na
0.000 0.000 0.498 Mg
0.000 0.498 0.000 Mg
0.242 0.335 0.335 Mg
0.248 0.337 0.823 Mg
0.248 0.823 0.337 Mg
0.251 0.830 0.830 Mg
0.500 0.000 0.000 Mg
0.500 0.001 0.497 Mg
0.500 0.497 0.001 Mg
0.500 0.499 0.499 Mg
0.749 0.830 0.830 Mg
0.752 0.337 0.823 Mg
0.752 0.823 0.337 Mg
0.758 0.335 0.335 Mg
0.000 0.503 0.503 Ti
```

A plane-wave DFT calculation with GGA-PBE was carried out for HoVIr2 after structural relaxation.

Calculated values
As for the total energy: -33.66 eV for the cell shown. As for the crystal system: tetragonal. As for the space-group type: P4/mmm, No. 123. The value obtained for the density of states at the Fermi level is 3.54 states/eV/cell. For the energy of formation, the calculation gives -0.56 eV/atom.

Cell and atoms, written as POSCAR:
```
HoVIr2
1.0
3.010 0.000 0.000
0.000 3.010 0.000
0.000 0.000 7.384
Ho V Ir
1 1 2
Direct
0.000 0.000 0.000 Ho
0.000 0.000 0.500 V
0.500 0.500 0.297 Ir
0.500 0.500 0.703 Ir
```

A plane-wave DFT calculation with GGA-PBE was carried out for V4CrRe after structural relaxation.

Calculated values
As for the total energy: -55.14 eV for the cell shown. As for the crystal system: monoclinic. As for the space-group type: C2/m, No. 12. The value obtained for the density of states at the Fermi level is 6.87 states/eV/cell. For the energy of formation, the calculation gives 0.57 eV/atom.

Cell and atoms, written as POSCAR:
```
V4CrRe
1.0
2.868 -2.868 0.000
2.868 2.868 0.000
-0.013 0.000 5.780
V Cr Re
4 1 1
Direct
0.000 0.500 0.239 V
0.000 0.500 0.761 V
0.500 0.000 0.239 V
0.500 0.000 0.761 V
0.000 0.000 0.000 Cr
0.500 0.500 0.500 Re
```

A plane-wave DFT calculation with GGA-PBE was carried out for TbPm2Th2 after structural relaxation.

Calculated values
As for the total energy: -53.41 eV for the cell shown. As for the crystal system: orthorhombic. As for the space-group type: Fddd, No. 70. The value obtained for the density of states at the Fermi level is 15.50 states/eV/cell. For the energy of formation, the calculation gives 0.45 eV/atom.

Cell and atoms, written as POSCAR:
```
TbPm2Th2
1.0
0.000 8.500 11.637
1.746 0.000 11.637
1.746 8.500 0.000
Tb Pm Th
2 4 4
Direct
0.125 0.125 0.125 Tb
0.875 0.875 0.875 Tb
0.204 0.546 0.204 Pm
0.454 0.796 0.454 Pm
0.546 0.204 0.546 Pm
0.796 0.454 0.796 Pm
0.000 0.000 0.000 Th
0.000 0.000 0.500 Th
0.000 0.500 0.000 Th
0.500 0.000 0.000 Th
```

A plane-wave DFT calculation with GGA-PBE was carried out for CaAsP2 after structural relaxation.

Calculated values
As for the total energy: -36.87 eV for the cell shown. As for the crystal system: tetragonal. As for the space-group type: I-42d, No. 122. The value obtained for the density of states at the Fermi level is 6.18 states/eV/cell. For the energy of formation, the calculation gives -0.24 eV/atom.

Cell and atoms, written as POSCAR:
```
CaAsP2
1.0
-3.410 3.410 4.165
3.410 -3.410 4.165
3.410 3.410 -4.165
Ca As P
2 2 4
Direct
0.000 0.000 0.000 Ca
0.750 0.250 0.500 Ca
0.250 0.750 0.500 As
0.500 0.500 0.000 As
0.183 0.125 0.558 P
0.375 0.817 0.942 P
0.567 0.625 0.442 P
0.875 0.433 0.058 P
```